# 1
{"formula": "LuSnHgPd", "functional": "PBE", "state": "optimized geometry", "lattice": [[0.000, 3.493, 3.493], [3.493, 0.000, 3.493], [3.493, 3.493, 0.000]], "species": ["Lu", "Sn", "Hg", "Pd"], "frac_coords": [[0.000, 0.000, 0.000], [0.500, 0.500, 0.500], [0.250, 0.250, 0.250], [0.750, 0.750, 0.750]], "dos_at_fermi_per_ev_atom": 0.5197, "volume_a3_per_cell": 85.2, "m_tot_mub_per_atom": 0.000, "energy_ry_per_atom": -0.2954}

=====

# 2
{"formula": "Dy5Te4As", "functional": "PBE", "state": "optimized geometry", "lattice": [[-2.124, 2.124, 15.723], [2.124, -2.124, 15.723], [2.124, 2.124, -15.723]], "species": ["Dy", "Dy", "Dy", "Dy", "Dy", "Te", "Te", "Te", "Te", "As"], "frac_coords": [[0.000, 0.000, 0.000], [0.211, 0.211, 0.000], [0.413, 0.413, 0.000], [0.587, 0.587, 0.000], [0.789, 0.789, 0.000], [0.103, 0.103, 0.000], [0.309, 0.309, 0.000], [0.691, 0.691, 0.000], [0.897, 0.897, 0.000], [0.500, 0.500, 0.000]], "dos_at_fermi_per_ev_atom": 0.4374, "volume_a3_per_cell": 283.8, "m_tot_mub_per_atom": 0.000, "energy_ry_per_atom": -0.3958, "e_form_raw_ev_per_atom": -1.36}

=====

# 3
{"formula": "CoPH", "functional": "PBE", "state": "optimized geometry", "lattice": [[10.148, 0.000, 0.000], [0.000, 4.299, 0.000], [0.000, 0.000, 3.938]], "species": ["Co", "Co", "Co", "Co", "Co", "Co", "P", "P", "P", "P", "P", "P", "H", "H", "H", "H", "H", "H"], "frac_coords": [[0.000, 0.234, 0.000], [0.152, 0.733, 0.257], [0.348, 0.267, 0.757], [0.500, 0.766, 0.500], [0.652, 0.267, 0.757], [0.848, 0.733, 0.257], [0.000, 0.447, 0.503], [0.165, 0.983, 0.764], [0.335, 0.017, 0.264], [0.500, 0.553, 0.003], [0.665, 0.017, 0.264], [0.835, 0.983, 0.764], [0.000, 0.944, 0.272], [0.249, 0.506, 0.969], [0.251, 0.494, 0.469], [0.500, 0.056, 0.772], [0.749, 0.494, 0.469], [0.751, 0.506, 0.969]], "dos_at_fermi_per_ev_atom": 0.5011, "volume_a3_per_cell": 171.8, "m_tot_mub_per_atom": 0.000, "relative_energy_ev_per_atom": 0.047, "energy_ry_per_atom": -0.3919}

=====

# 4
{"formula": "BeAgRu2Br", "functional": "PBE", "state": "optimized geometry", "lattice": [[4.629, 0.000, 0.000], [0.000, 4.629, 0.000], [0.000, 0.000, 4.108]], "species": ["Be", "Ag", "Ru", "Ru", "Br"], "frac_coords": [[0.000, 0.000, 0.000], [0.500, 0.500, 0.000], [0.000, 0.500, 0.500], [0.500, 0.000, 0.500], [0.000, 0.000, 0.500]], "dos_at_fermi_per_ev_atom": 0.9539, "volume_a3_per_cell": 88.0, "m_tot_mub_per_atom": 0.262, "energy_ry_per_atom": -0.2892, "e_form_raw_ev_per_atom": 1.43}

=====

# 5
{"formula": "Rb2Zn3InSn4", "functional": "PBE", "state": "optimized geometry", "lattice": [[4.847, 0.000, 0.000], [0.000, 4.847, 0.000], [0.000, 0.000, 12.011]], "species": ["Rb", "Rb", "Zn", "Zn", "Zn", "In", "Sn", "Sn", "Sn", "Sn"], "frac_coords": [[0.000, 0.500, 0.250], [0.500, 0.000, 0.750], [0.000, 0.000, 0.000], [0.000, 0.500, 0.632], [0.500, 0.000, 0.368], [0.500, 0.500, 0.000], [0.000, 0.000, 0.500], [0.000, 0.500, 0.862], [0.500, 0.000, 0.138], [0.500, 0.500, 0.500]], "dos_at_fermi_per_ev_atom": 0.4261, "volume_a3_per_cell": 282.1, "m_tot_mub_per_atom": 0.000, "energy_ry_per_atom": -0.1884}

=====

# 6
{"formula": "MgSi2Os", "functional": "PBE", "state": "optimized geometry", "lattice": [[6.379, 0.000, 0.000], [0.000, 4.127, 0.000], [0.000, 0.000, 9.449]], "species": ["Mg", "Mg", "Mg", "Mg", "Si", "Si", "Si", "Si", "Si", "Si", "Si", "Si", "Os", "Os", "Os", "Os"], "frac_coords": [[0.226, 0.250, 0.195], [0.274, 0.750, 0.695], [0.726, 0.250, 0.305], [0.774, 0.750, 0.805], [0.029, 0.750, 0.335], [0.242, 0.250, 0.490], [0.258, 0.750, 0.990], [0.471, 0.250, 0.835], [0.529, 0.750, 0.165], [0.742, 0.250, 0.010], [0.758, 0.750, 0.510], [0.971, 0.250, 0.665], [0.101, 0.250, 0.906], [0.399, 0.750, 0.406], [0.601, 0.250, 0.594], [0.899, 0.750, 0.094]], "dos_at_fermi_per_ev_atom": 0.4573, "volume_a3_per_cell": 248.7, "m_tot_mub_per_atom": 0.000, "energy_ry_per_atom": -0.4529, "e_form_raw_ev_per_atom": -0.24}

=====

# 7
{"formula": "SrSiSN2", "functional": "PBE", "state": "optimized geometry", "lattice": [[3.833, 0.000, 0.000], [0.000, 3.833, 0.000], [0.000, 0.000, 4.825]], "species": ["Sr", "Si", "S", "N", "N"], "frac_coords": [[0.000, 0.000, 0.000], [0.500, 0.500, 0.500], [0.500, 0.500, 0.000], [0.000, 0.500, 0.500], [0.500, 0.000, 0.500]], "dos_at_fermi_per_ev_atom": 0.5172, "volume_a3_per_cell": 70.9, "m_tot_mub_per_atom": 0.290, "relative_energy_ev_per_atom": 0.000, "energy_ry_per_atom": -0.4215, "e_form_raw_ev_per_atom": -0.16}

=====

# 8
{"formula": "HoLuScTi", "functional": "PBE", "state": "optimized geometry", "lattice": [[0.000, 3.708, 3.708], [3.708, 0.000, 3.708], [3.708, 3.708, 0.000]], "species": ["Ho", "Lu", "Sc", "Ti"], "frac_coords": [[0.000, 0.000, 0.000], [0.500, 0.500, 0.500], [0.250, 0.250, 0.250], [0.750, 0.750, 0.750]], "dos_at_fermi_per_ev_atom": 2.0072, "volume_a3_per_cell": 102.0, "m_tot_mub_per_atom": 0.783, "energy_ry_per_atom": -0.4132}

=====

# 9
{"formula": "NaCo", "functional": "PBE", "state": "optimized geometry", "lattice": [[8.379, 0.000, 0.000], [0.000, 8.379, 0.000], [0.000, 0.000, 8.379]], "species": ["Na", "Na", "Na", "Na", "Na", "Na", "Co", "Co", "Co", "Co", "Co", "Co"], "frac_coords": [[0.000, 0.250, 0.500], [0.000, 0.750, 0.500], [0.250, 0.500, 0.000], [0.500, 0.000, 0.250], [0.500, 0.000, 0.750], [0.750, 0.500, 0.000], [0.000, 0.500, 0.250], [0.000, 0.500, 0.750], [0.250, 0.000, 0.500], [0.500, 0.250, 0.000], [0.500, 0.750, 0.000], [0.750, 0.000, 0.500]], "volume_a3_per_cell": 588.2, "m_tot_mub_per_atom": 1.000, "energy_ry_per_atom": -0.1780}

=====

# 10
{"formula": "Pm2Ni4AgSn3", "functional": "PBE", "state": "optimized geometry", "lattice": [[4.433, 0.000, 0.000], [0.000, 4.433, 0.000], [0.000, 0.000, 10.041]], "species": ["Pm", "Pm", "Ni", "Ni", "Ni", "Ni", "Ag", "Sn", "Sn", "Sn"], "frac_coords": [[0.000, 0.500, 0.244], [0.500, 0.000, 0.756], [0.000, 0.000, 0.000], [0.000, 0.500, 0.630], [0.500, 0.000, 0.370], [0.500, 0.500, 0.000], [0.000, 0.000, 0.500], [0.000, 0.500, 0.875], [0.500, 0.000, 0.125], [0.500, 0.500, 0.500]], "dos_at_fermi_per_ev_atom": 0.6729, "volume_a3_per_cell": 197.3, "m_tot_mub_per_atom": 0.000, "energy_ry_per_atom": -0.3801}

=====

# 11
{"formula": "TiCrRh6", "functional": "PBE", "state": "optimized geometry", "lattice": [[5.410, 0.000, 0.000], [0.000, 5.410, 0.000], [0.000, 0.000, 3.819]], "species": ["Ti", "Cr", "Rh", "Rh", "Rh", "Rh", "Rh", "Rh"], "frac_coords": [[0.000, 0.000, 0.000], [0.500, 0.500, 0.000], [0.000, 0.500, 0.000], [0.255, 0.255, 0.500], [0.255, 0.745, 0.500], [0.500, 0.000, 0.000], [0.745, 0.255, 0.500], [0.745, 0.745, 0.500]], "dos_at_fermi_per_ev_atom": 1.0610, "volume_a3_per_cell": 111.8, "m_tot_mub_per_atom": 0.070, "relative_energy_ev_per_atom": 0.000, "energy_ry_per_atom": -0.5928}

=====

# 12
{"formula": "KSrH", "functional": "PBE", "state": "optimized geometry", "lattice": [[7.465, 0.000, 0.000], [0.000, 9.053, 0.000], [0.000, 0.000, 6.961]], "species": ["K", "K", "K", "K", "Sr", "Sr", "Sr", "Sr", "H", "H", "H", "H"], "frac_coords": [[0.074, 0.136, 0.000], [0.426, 0.136, 0.500], [0.574, 0.864, 0.000], [0.926, 0.864, 0.500], [0.106, 0.590, 0.044], [0.394, 0.590, 0.544], [0.606, 0.410, 0.044], [0.894, 0.410, 0.544], [0.089, 0.601, 0.400], [0.411, 0.601, 0.900], [0.589, 0.399, 0.400], [0.911, 0.399, 0.900]], "dos_at_fermi_per_ev_atom": 0.7236, "volume_a3_per_cell": 470.4, "m_tot_mub_per_atom": 0.054, "relative_energy_ev_per_atom": 0.137, "energy_ry_per_atom": -0.1571}

=====

# 13
{"formula": "ZnTc2Br", "functional": "PBE", "state": "optimized geometry", "lattice": [[0.000, 3.110, 3.110], [3.110, 0.000, 3.110], [3.110, 3.110, 0.000]], "species": ["Zn", "Tc", "Tc", "Br"], "frac_coords": [[0.000, 0.000, 0.000], [0.250, 0.250, 0.250], [0.750, 0.750, 0.750], [0.500, 0.500, 0.500]], "dos_at_fermi_per_ev_atom": 1.3994, "volume_a3_per_cell": 60.2, "m_tot_mub_per_atom": 0.000, "relative_energy_ev_per_atom": 0.729, "energy_ry_per_atom": -0.3705, "e_form_raw_ev_per_atom": 0.88}

=====

# 14
{"formula": "Nd3Er7Tm", "functional": "PBE", "state": "optimized geometry", "lattice": [[6.265, -5.586, 0.000], [6.265, 5.586, 0.000], [-2.697, 0.000, 5.159]], "species": ["Nd", "Nd", "Nd", "Er", "Er", "Er", "Er", "Er", "Er", "Er", "Tm"], "frac_coords": [[0.000, 0.000, 0.000], [0.214, 0.786, 0.500], [0.786, 0.214, 0.500], [0.007, 0.403, 0.205], [0.207, 0.207, 0.706], [0.403, 0.007, 0.205], [0.500, 0.500, 0.500], [0.597, 0.993, 0.795], [0.793, 0.793, 0.294], [0.993, 0.597, 0.795], [0.500, 0.500, 0.000]], "dos_at_fermi_per_ev_atom": 1.3427, "volume_a3_per_cell": 361.1, "m_tot_mub_per_atom": 0.030, "relative_energy_ev_per_atom": 0.131, "energy_ry_per_atom": -0.3179}

=====

# 15
{"formula": "Ho6CuAu5", "functional": "PBE", "state": "optimized geometry", "lattice": [[2.531, -7.610, 0.000], [2.531, 7.610, 0.000], [0.000, 0.000, 7.085]], "species": ["Ho", "Ho", "Ho", "Ho", "Ho", "Ho", "Cu", "Au", "Au", "Au", "Au", "Au"], "frac_coords": [[0.000, 0.000, 0.248], [0.000, 0.000, 0.752], [0.335, 0.665, 0.248], [0.335, 0.665, 0.752], [0.665, 0.335, 0.248], [0.665, 0.335, 0.752], [0.500, 0.500, 0.000], [0.161, 0.839, 0.000], [0.169, 0.831, 0.500], [0.500, 0.500, 0.500], [0.831, 0.169, 0.500], [0.839, 0.161, 0.000]], "dos_at_fermi_per_ev_atom": 0.4030, "volume_a3_per_cell": 273.0, "m_tot_mub_per_atom": 0.000, "energy_ry_per_atom": -0.3505}

=====

# 16
{"formula": "CaSn2HgTe4", "functional": "PBE", "state": "optimized geometry", "lattice": [[7.839, 0.000, 0.000], [0.000, 4.480, 0.000], [-2.791, 0.000, 7.328]], "species": ["Ca", "Sn", "Sn", "Hg", "Te", "Te", "Te", "Te"], "frac_coords": [[0.000, 0.000, 0.000], [0.000, 0.500, 0.500], [0.500, 0.000, 0.500], [0.500, 0.500, 0.000], [0.244, 0.500, 0.254], [0.254, 0.000, 0.754], [0.746, 0.000, 0.246], [0.756, 0.500, 0.746]], "dos_at_fermi_per_ev_atom": 0.2665, "volume_a3_per_cell": 257.3, "m_tot_mub_per_atom": 0.000, "energy_ry_per_atom": -0.2484, "e_form_raw_ev_per_atom": -0.52}

=====

# 17
{"formula": "La2SmAl6", "functional": "PBE", "state": "optimized geometry", "lattice": [[7.988, 0.000, 0.000], [-3.994, 6.918, 0.000], [0.000, 0.000, 3.849]], "species": ["La", "La", "Sm", "Al", "Al", "Al", "Al", "Al", "Al"], "frac_coords": [[0.333, 0.667, 0.000], [0.667, 0.333, 0.000], [0.000, 0.000, 0.000], [0.000, 0.331, 0.500], [0.000, 0.669, 0.500], [0.331, 0.000, 0.500], [0.331, 0.331, 0.500], [0.669, 0.000, 0.500], [0.669, 0.669, 0.500]], "dos_at_fermi_per_ev_atom": 0.6358, "volume_a3_per_cell": 212.7, "m_tot_mub_per_atom": 0.000, "energy_ry_per_atom": -0.3366}

=====

# 18
{"formula": "CaMg2Tl3", "functional": "PBE", "state": "optimized geometry", "lattice": [[5.207, 0.000, 0.000], [-2.603, 4.509, 0.000], [0.000, 0.000, 13.756]], "species": ["Ca", "Ca", "Mg", "Mg", "Mg", "Mg", "Tl", "Tl", "Tl", "Tl", "Tl", "Tl"], "frac_coords": [[0.000, 0.000, 0.250], [0.000, 0.000, 0.750], [0.333, 0.667, 0.098], [0.333, 0.667, 0.402], [0.667, 0.333, 0.598], [0.667, 0.333, 0.902], [0.000, 0.000, 0.000], [0.000, 0.000, 0.500], [0.333, 0.667, 0.637], [0.333, 0.667, 0.863], [0.667, 0.333, 0.137], [0.667, 0.333, 0.363]], "dos_at_fermi_per_ev_atom": 0.4360, "volume_a3_per_cell": 323.0, "m_tot_mub_per_atom": 0.000, "relative_energy_ev_per_atom": 0.031, "energy_ry_per_atom": -0.1614}

=====

# 19
{"formula": "Ac6TbPm4", "functional": "PBE", "state": "optimized geometry", "lattice": [[-3.518, 3.518, 9.363], [3.518, -3.518, 9.363], [3.518, 3.518, -9.363]], "species": ["Ac", "Ac", "Ac", "Ac", "Ac", "Ac", "Tb", "Pm", "Pm", "Pm", "Pm"], "frac_coords": [[0.000, 0.500, 0.500], [0.170, 0.170, 0.634], [0.464, 0.830, 0.000], [0.500, 0.000, 0.500], [0.536, 0.536, 0.366], [0.830, 0.464, 0.000], [0.000, 0.000, 0.000], [0.019, 0.653, 0.000], [0.347, 0.347, 0.367], [0.653, 0.019, 0.000], [0.981, 0.981, 0.633]], "dos_at_fermi_per_ev_atom": 1.6346, "volume_a3_per_cell": 463.4, "m_tot_mub_per_atom": 0.000, "energy_ry_per_atom": -0.2995}

=====

# 20
{"formula": "Ca4MgPb5", "functional": "PBE", "state": "optimized geometry", "lattice": [[3.921, 0.000, 0.000], [0.000, 3.921, 0.000], [0.000, 0.000, 19.370]], "species": ["Ca", "Ca", "Ca", "Ca", "Mg", "Pb", "Pb", "Pb", "Pb", "Pb"], "frac_coords": [[0.000, 0.000, 0.103], [0.000, 0.000, 0.310], [0.000, 0.000, 0.690], [0.000, 0.000, 0.897], [0.000, 0.000, 0.500], [0.500, 0.500, 0.000], [0.500, 0.500, 0.206], [0.500, 0.500, 0.415], [0.500, 0.500, 0.585], [0.500, 0.500, 0.794]], "dos_at_fermi_per_ev_atom": 0.4879, "volume_a3_per_cell": 297.8, "m_tot_mub_per_atom": 0.000, "energy_ry_per_atom": -0.2376}

=====

# 21
{"formula": "LaGa2Cu9", "functional": "PBE", "state": "optimized geometry", "lattice": [[2.514, 1.452, 8.042], [-2.514, 1.452, 8.042], [0.000, -2.903, 8.042]], "species": ["La", "Ga", "Ga", "Cu", "Cu", "Cu", "Cu", "Cu", "Cu", "Cu", "Cu", "Cu"], "frac_coords": [[0.000, 0.000, 0.000], [0.143, 0.143, 0.143], [0.857, 0.857, 0.857], [0.081, 0.590, 0.590], [0.334, 0.334, 0.334], [0.410, 0.410, 0.919], [0.410, 0.919, 0.410], [0.500, 0.500, 0.500], [0.590, 0.081, 0.590], [0.590, 0.590, 0.081], [0.666, 0.666, 0.666], [0.919, 0.410, 0.410]], "dos_at_fermi_per_ev_atom": 0.4091, "volume_a3_per_cell": 176.1, "m_tot_mub_per_atom": 0.000, "relative_energy_ev_per_atom": 0.060, "energy_ry_per_atom": -0.3010}

=====

# 22
{"formula": "Ta2CoRu", "functional": "PBE", "state": "optimized geometry", "lattice": [[-1.895, 1.895, 4.243], [1.895, -1.895, 4.243], [1.895, 1.895, -4.243]], "species": ["Ta", "Ta", "Co", "Ru"], "frac_coords": [[0.000, 0.000, 0.000], [0.750, 0.250, 0.500], [0.250, 0.750, 0.500], [0.500, 0.500, 0.000]], "dos_at_fermi_per_ev_atom": 0.6634, "volume_a3_per_cell": 61.0, "m_tot_mub_per_atom": 0.000, "energy_ry_per_atom": -0.7452}

=====

# 23
{"formula": "Pm8SmTh2", "functional": "PBE", "state": "optimized geometry", "lattice": [[4.562, -8.263, 0.000], [4.562, 8.263, 0.000], [-3.375, 0.000, 5.031]], "species": ["Pm", "Pm", "Pm", "Pm", "Pm", "Pm", "Pm", "Pm", "Sm", "Th", "Th"], "frac_coords": [[0.100, 0.336, 0.680], [0.207, 0.793, 0.000], [0.336, 0.100, 0.680], [0.422, 0.422, 0.207], [0.578, 0.578, 0.793], [0.664, 0.900, 0.320], [0.793, 0.207, 0.000], [0.900, 0.664, 0.320], [0.000, 0.000, 0.000], [0.308, 0.692, 0.500], [0.692, 0.308, 0.500]], "dos_at_fermi_per_ev_atom": 1.3500, "volume_a3_per_cell": 379.3, "m_tot_mub_per_atom": 0.000, "energy_ry_per_atom": -0.3704}